No. 1
This record from OQMD via LeMat-Bulk describes a geometry-optimized PrAg2BiSe2O2 structure. The functional is PBE-GGA.

a = 4.0630 Å, b = 4.0630 Å, c = 9.4174 Å
α = 90.00°, β = 90.00°, γ = 90.00°
Element x y z (fractional)
Ag  0.0000  0.5000  0.4988
Ag  0.5000  0.0000  0.4988
O  0.5000  0.0000  0.0005
O  0.0000  0.5000  0.0005
Bi  0.0000  0.0000  0.1267
Pr  0.5000  0.5000  0.8679
Se  0.5000  0.5000  0.3017
Se  0.0000  0.0000  0.7051

Values from the calculation:
Space group   P4mm (99)
Spin magnetization   0.0 Bohr magnetons per cell

=====

No. 2
This record from OQMD via LeMat-Bulk describes a geometry-optimized AgBiSeO structure. The functional is PBE-GGA.

a = 4.0419 Å, b = 4.0419 Å, c = 9.2984 Å
α = 90.00°, β = 90.00°, γ = 90.00°
Element x y z (fractional)
O  0.2500  0.7500  0.0000
O  0.7500  0.2500  0.0000
Bi  0.2500  0.2500  0.1320
Bi  0.7500  0.7500  0.8680
Ag  0.7500  0.2500  0.5000
Ag  0.2500  0.7500  0.5000
Se  0.2500  0.2500  0.7036
Se  0.7500  0.7500  0.2964

Values from the calculation:
Space group   P4/nmm (129)

=====

No. 3
This record from OQMD via LeMat-Bulk describes a geometry-optimized AgBiSeO structure. The functional is PBE-GGA.

a = 5.7519 Å, b = 5.7367 Å, c = 11.2343 Å
α = 90.00°, β = 104.76°, γ = 90.00°
Element x y z (fractional)
Ag  0.6310  0.6595  0.4767
Ag  0.3690  0.1595  0.5233
Ag  0.0246  0.9466  0.6480
Ag  0.9754  0.4466  0.3520
O  0.2467  0.9772  0.0026
O  0.7533  0.4772  0.9974
O  0.2406  0.4689  0.0020
O  0.7594  0.9688  0.9980
Se  0.2358  0.1443  0.2943
Se  0.3748  0.2134  0.7457
Se  0.6252  0.7134  0.2543
Se  0.7642  0.6443  0.7057
Bi  0.0530  0.7339  0.1106
Bi  0.5419  0.2562  0.1172
Bi  0.9470  0.2339  0.8894
Bi  0.4581  0.7562  0.8828

Values from the calculation:
Space group   P2_1 (4)

=====

No. 4
This record from OQMD via LeMat-Bulk describes a geometry-optimized AgBiSeO structure. The functional is PBE-GGA.

a = 4.0248 Å, b = 6.5579 Å, c = 6.8207 Å
α = 90.00°, β = 90.00°, γ = 90.00°
Element x y z (fractional)
Se  0.0000  0.3795  0.7370
Se  0.0000  0.6205  0.2370
O  0.5000  0.0611  0.1608
O  0.5000  0.9389  0.6608
Bi  0.5000  0.2091  0.4932
Bi  0.5000  0.7909  0.9932
Ag  0.0000  0.2436  0.1000
Ag  0.0000  0.7564  0.6000

Values from the calculation:
Space group   Pmc2_1 (26)

=====

| no. | uncorrected energy (eV per atom) |
| --- | --- |
| 1 | -5.188 |
| 2 | -4.467 |
| 3 | -4.394 |
| 4 | -4.253 |